No. 1
An optimized crystal structure of WBr5. Source: the Alexandria database, functional PBEsol.

Structure (POSCAR):
```
WBr5
1.0
-2.402 2.365 -1.693
-3.430 -5.901 0.826
-2.169 2.102 6.013
Br W
5 1
Cartesian
-3.246 -1.152 2.997
-5.626 -3.577 2.986
-0.258 -0.263 -0.001
-2.987 -0.637 -0.854
-3.337 -3.401 -0.015
-5.637 -1.182 2.145
```

Properties
* space group: Amm2
* energy above the most stable polymorph in this dataset: 463 kJ/mol of formula units
* E_tot: -20.86 eV per formula unit

***

No. 2
An optimized crystal structure of WBr5. Source: the Alexandria database, functional PBEsol.

Structure (POSCAR):
```
WBr5
1.0
5.972 0.012 0.011
-0.046 13.313 -0.128
-0.046 0.751 13.293
Br W
30 6
Cartesian
1.458 3.951 11.418
4.493 13.361 12.506
4.564 0.220 2.689
4.369 7.396 4.423
1.508 10.091 9.446
4.422 10.125 1.757
1.411 12.586 6.896
1.512 9.174 6.088
1.577 4.479 1.713
4.373 3.985 3.730
4.369 4.902 7.088
1.317 13.856 10.487
4.469 6.364 1.072
4.422 2.422 9.987
4.469 1.490 6.279
1.463 3.034 7.701
4.293 8.667 8.113
1.463 7.885 2.519
4.304 9.597 11.462
1.587 5.409 5.063
4.417 11.042 5.474
1.317 11.379 13.134
4.304 12.071 8.819
1.512 6.680 8.752
1.577 2.005 4.357
1.458 11.654 3.189
4.417 6.191 10.657
1.411 7.712 12.103
1.388 0.715 0.670
4.564 2.697 0.042
-0.046 2.125 11.825
2.903 8.011 10.247
2.903 10.753 7.317
2.978 6.065 2.929
2.978 3.323 5.859
-0.046 11.939 1.339
```

Properties
* space group: C2/m
* energy above the most stable polymorph in this dataset: 0 kJ/mol of formula units
* E_tot: -25.65 eV per formula unit

***

No. 3
An optimized crystal structure of WBr5. Source: the Alexandria database, functional PBEsol.

Structure (POSCAR):
```
WBr5
1.0
-2.762 1.098 -0.609
0.374 -0.684 -2.932
-6.258 -14.328 2.544
Br W
5 1
Cartesian
-2.944 -3.799 -1.059
-3.129 -7.164 1.272
-0.632 -1.446 0.257
-5.627 -12.881 2.287
-5.702 -10.114 0.062
-1.194 0.207 -1.770
```

Properties
* space group: P4/mmm
* energy above the most stable polymorph in this dataset: 438 kJ/mol of formula units
* E_tot: -21.11 eV per formula unit

***

No. 4
An optimized crystal structure of W2Br. Source: the Alexandria database, functional PBEsol.

Structure (POSCAR):
```
W2Br
1.0
2.924 0.000 0.000
-1.462 2.532 0.000
0.000 0.000 6.631
W Br
2 1
Cartesian
0.000 1.688 2.204
1.462 0.844 4.428
0.000 0.000 0.000
```

Properties
* space group: P-3m1
* energy above the most stable polymorph in this dataset: 0 kJ/mol of formula units
* E_tot: -27.10 eV per formula unit

***

no.,ΔE_f (raw) (eV per formula unit)
1,2.3
2,-2.5
3,2.0
4,2.4